## Na3Zr2MnS6 (PBE-GGA)

Data for crystalline Na3Zr2MnS6 at its relaxed geometry.

Summary:
M_tot in μB per atom: 0.34
Calculated total energy in eV/atom: -5.89
Density in g/cm3: 3.42
DOS at the Fermi energy in states/eV per cell: 3.206
Symmetry: C2/m (12)
Volume in Å³/cell: 242

Cell lengths 6.463, 6.463, 7.040 Å; angles 98.81, 98.81, 119.99 degrees
Positions (direct):
Na1 0.000 0.000 0.000
Na2 0.334 0.666 0.000
Na3 0.666 0.334 0.000
Zr1 0.167 0.833 0.500
Zr2 0.833 0.167 0.500
Mn1 0.500 0.500 0.500
S1 0.093 0.427 0.281
S2 0.239 0.239 0.720
S3 0.427 0.093 0.281
S4 0.573 0.907 0.719
S5 0.761 0.761 0.280
S6 0.907 0.573 0.719